#w
DFT (GGA-PBE) results for a geometry-optimized Nd2Sm2C2I2Br2Cl structure.

Cell lengths 10.013, 10.013, 8.220 Å; angles 102.26, 102.26, 22.71 degrees
Atoms (fractional coordinates):
Sm  0.347  0.347  0.413
Sm  0.653  0.653  0.587
Cl  0.500  0.500  0.000
I  0.163  0.163  0.880
I  0.837  0.837  0.120
C  0.537  0.537  0.521
C  0.463  0.463  0.479
Br  0.170  0.170  0.331
Br  0.830  0.830  0.669
Nd  0.998  0.998  0.706
Nd  0.002  0.002  0.294

Calculated values
The volume is 28.24 Å³ per atom.

#x
DFT (GGA-PBE) results for a geometry-optimized Nd2Sm2C2I2Br2Cl structure.

Cell lengths 10.192, 10.192, 8.199 Å; angles 103.33, 103.33, 22.26 degrees
Atoms (fractional coordinates):
Nd  0.001  0.001  0.707
Nd  0.999  0.999  0.293
Br  0.842  0.842  0.137
Br  0.158  0.158  0.863
I  0.168  0.168  0.313
I  0.832  0.832  0.687
Sm  0.651  0.651  0.598
Sm  0.349  0.349  0.402
Cl  0.500  0.500  0.000
C  0.536  0.536  0.522
C  0.464  0.464  0.478

Calculated values
The volume is 28.52 Å³ per atom.

Which one is most stable, and which one is least stable? #x is the most stable of them, while #w is the least stable.